## LaRePb2 (PBE)

Data for a relaxed structure of LaRePb2. Values from VASP.

Cell and atoms, written as Quantum ESPRESSO input:
```
&SYSTEM
  ibrav = 0, nat = 4, ntyp = 3
/
ATOMIC_SPECIES
La 138.91 La.upf
Pb 207.20 Pb.upf
Re 186.21 Re.upf
CELL_PARAMETERS angstrom
-2.398 4.348 1.599
-4.355 2.613 -1.190
-3.958 -1.718 3.847
ATOMIC_POSITIONS angstrom
La -2.678 1.311 1.064
Pb -5.414 2.376 2.322
Pb -3.898 -1.473 3.653
Re -8.033 3.932 3.192
```

* E: -5.885 eV per atom
* ΔE to the lowest computed polymorph: 0.0095 eV per atom
* total magnetization: 0.0 μB/f.u.

=====

## TbNdErGa (PBE)

Data for a relaxed structure of TbNdErGa. Values from VASP.

Cell and atoms, written as Quantum ESPRESSO input:
```
&SYSTEM
  ibrav = 0, nat = 4, ntyp = 4
/
ATOMIC_SPECIES
Ga 69.72 Ga.upf
Nd 144.24 Nd.upf
Tb 158.93 Tb.upf
Er 167.26 Er.upf
CELL_PARAMETERS angstrom
5.371 0.000 0.000
2.686 4.652 0.000
2.686 1.551 4.386
ATOMIC_POSITIONS angstrom
Ga 2.686 1.551 1.096
Nd 5.371 3.101 2.193
Tb 0.000 0.000 0.000
Er 8.057 4.652 3.289
```

* E: -4.343 eV per atom
* total magnetization: 0.7 μB/f.u.

=====

## SrGaAg2 (PBE)

Data for a relaxed structure of SrGaAg2. Values from VASP.

Cell and atoms, written as Quantum ESPRESSO input:
```
&SYSTEM
  ibrav = 0, nat = 4, ntyp = 3
/
ATOMIC_SPECIES
Ga 69.72 Ga.upf
Ag 107.87 Ag.upf
Sr 87.62 Sr.upf
CELL_PARAMETERS angstrom
-0.537 1.789 4.228
1.653 -2.245 3.687
5.064 2.464 2.128
ATOMIC_POSITIONS angstrom
Ga 3.090 1.004 5.021
Ag 2.226 0.881 2.436
Ag 3.954 1.126 7.605
Sr 0.000 0.000 0.000
```

* E: -2.857 eV per atom
* total magnetization: 0.0 μB/f.u.

=====

## Y5Cu2Sn (PBE)

Data for a relaxed structure of Y5Cu2Sn. Values from VASP.

Cell and atoms, written as Quantum ESPRESSO input:
```
&SYSTEM
  ibrav = 0, nat = 16, ntyp = 3
/
ATOMIC_SPECIES
Cu 63.55 Cu.upf
Y 88.91 Y.upf
Sn 118.71 Sn.upf
CELL_PARAMETERS angstrom
-3.180 2.000 -6.939
5.711 -3.943 -3.754
-4.956 -4.486 5.464
ATOMIC_POSITIONS angstrom
Cu 1.718 -1.211 -2.285
Cu -1.266 0.752 -4.838
Cu 3.797 -2.694 -5.855
Cu 0.814 -0.732 -8.408
Y 1.266 -0.971 -5.346
Y 1.672 -3.562 -7.691
Y 0.000 0.000 0.000
Y -1.773 -1.220 -7.100
Y -0.651 -5.209 1.871
Y 2.203 -3.831 -3.526
Y -4.628 -2.598 -1.703
Y -1.183 -4.940 -2.294
Y -1.242 -1.489 -2.935
Y -4.096 -2.867 2.462
Sn -0.579 -3.700 -5.288
Sn -1.845 -2.729 0.059
```

* E: -5.929 eV per atom
* total magnetization: 0.0 μB/f.u.

=====

## Dy2ScAg4 (PBE)

Data for a relaxed structure of Dy2ScAg4. Values from VASP.

Cell and atoms, written as Quantum ESPRESSO input:
```
&SYSTEM
  ibrav = 0, nat = 7, ntyp = 3
/
ATOMIC_SPECIES
Dy 162.50 Dy.upf
Ag 107.87 Ag.upf
Sc 44.96 Sc.upf
CELL_PARAMETERS angstrom
5.677 -0.334 -2.202
-2.926 5.079 -1.682
-0.193 0.334 6.086
ATOMIC_POSITIONS angstrom
Dy 1.375 2.372 -1.942
Dy 2.742 0.000 1.942
Ag 2.838 -0.167 -1.101
Ag -0.096 0.167 3.043
Ag -1.463 2.539 -0.841
Ag 1.279 2.539 1.101
Sc 0.000 0.000 0.000
```

* E: -3.921 eV per atom
* total magnetization: 0.0 μB/f.u.

=====

## CuHgSe (PBE)

Data for a relaxed structure of CuHgSe. Values from VASP.

Cell and atoms, written as Quantum ESPRESSO input:
```
&SYSTEM
  ibrav = 0, nat = 3, ntyp = 3
/
ATOMIC_SPECIES
Hg 200.59 Hg.upf
Cu 63.55 Cu.upf
Se 78.96 Se.upf
CELL_PARAMETERS angstrom
4.460 0.000 0.000
2.230 3.863 0.000
2.230 1.288 3.642
ATOMIC_POSITIONS angstrom
Hg 0.000 0.000 0.000
Cu 6.690 3.863 2.731
Se 4.460 2.575 1.821
```

* E: -2.550 eV per atom
* ΔE to the lowest computed polymorph: 0.1254 eV per atom
* ΔE_f (raw): 7.5 kJ per mole of atoms
* total magnetization: 0.0 μB/f.u.

=====

Please write out number 4 again, unchanged.
## Y5Cu2Sn (PBE)

Data for a relaxed structure of Y5Cu2Sn. Values from VASP.

Cell and atoms, written as Quantum ESPRESSO input:
```
&SYSTEM
  ibrav = 0, nat = 16, ntyp = 3
/
ATOMIC_SPECIES
Cu 63.55 Cu.upf
Y 88.91 Y.upf
Sn 118.71 Sn.upf
CELL_PARAMETERS angstrom
-3.180 2.000 -6.939
5.711 -3.943 -3.754
-4.956 -4.486 5.464
ATOMIC_POSITIONS angstrom
Cu 1.718 -1.211 -2.285
Cu -1.266 0.752 -4.838
Cu 3.797 -2.694 -5.855
Cu 0.814 -0.732 -8.408
Y 1.266 -0.971 -5.346
Y 1.672 -3.562 -7.691
Y 0.000 0.000 0.000
Y -1.773 -1.220 -7.100
Y -0.651 -5.209 1.871
Y 2.203 -3.831 -3.526
Y -4.628 -2.598 -1.703
Y -1.183 -4.940 -2.294
Y -1.242 -1.489 -2.935
Y -4.096 -2.867 2.462
Sn -0.579 -3.700 -5.288
Sn -1.845 -2.729 0.059
```

* E: -5.929 eV per atom
* total magnetization: 0.0 μB/f.u.

=====

What is the total magnetization in the first record? 0.0 μB/f.u.

=====

E of number 5 (Dy2ScAg4)? -3.921 eV per atom

=====

What is the total magnetization in the fifth record? 0.0 μB/f.u.